# PBE Pr8Mg2Zn, relaxed
data_Pr8Mg2Zn
_chemical_formula_sum 'Pr16 Mg4 Zn2'
_symmetry_space_group_name_H-M 'C 1 2/m 1'
_symmetry_Int_Tables_number 12
_cell_length_a 18.751
_cell_length_b 5.510
_cell_length_c 7.139
_cell_angle_alpha 90.00
_cell_angle_beta 105.21
_cell_angle_gamma 90.00
loop_
_symmetry_equiv_pos_as_xyz
'x,y,z'
'-x,-y,-z'
'-x,y,-z'
'x,-y,z'
'x+1/2,y+1/2,z'
'-x+1/2,-y+1/2,-z'
'-x+1/2,y+1/2,-z'
'x+1/2,-y+1/2,z'
loop_
_atom_site_label
_atom_site_type_symbol
_atom_site_fract_x
_atom_site_fract_y
_atom_site_fract_z
Pr1 Pr 0.018 0.000 0.269
Pr2 Pr 0.093 0.500 0.949
Pr3 Pr 0.157 0.500 0.456
Pr4 Pr 0.197 0.000 0.779
Mg1 Mg 0.187 0.000 0.221
Zn1 Zn 0.000 0.500 0.500
# DOS at the Fermi energy, states/eV per atom: 1.162
# ΔE_f, eV/atom: -0.017
# Magnetic moment, Bohr magnetons per cell: 0.000

# PBE Pr3Mg2Zn, relaxed
data_Pr3Mg2Zn
_chemical_formula_sum 'Pr6 Mg4 Zn2'
_symmetry_space_group_name_H-M 'C m m m'
_symmetry_Int_Tables_number 65
_symmetry_space_group_name_Hall '-C 2 2'
_cell_length_a 5.438
_cell_length_b 16.355
_cell_length_c 3.832
_cell_angle_alpha 90.00
_cell_angle_beta 90.00
_cell_angle_gamma 90.00
loop_
_atom_site_label
_atom_site_type_symbol
_atom_site_fract_x
_atom_site_fract_y
_atom_site_fract_z
Pr1 Pr 0.000 0.000 0.000
Pr2 Pr 0.000 0.343 0.000
Mg1 Mg 0.000 0.174 0.500
Zn1 Zn 0.000 0.500 0.500
# DOS at the Fermi energy, states/eV per atom: 1.119
# ΔE_f, eV/atom: -0.170
# E above lowest polymorph, eV per atom: 0.005
# Magnetic moment, Bohr magnetons per cell: 0.000

# PBE PrMg5Zn2, relaxed
data_PrMg5Zn2
_chemical_formula_sum 'Pr2 Mg10 Zn4'
_symmetry_space_group_name_H-M 'I m m m'
_symmetry_Int_Tables_number 71
_symmetry_space_group_name_Hall '-I 2 2'
_cell_length_a 4.156
_cell_length_b 8.335
_cell_length_c 10.504
_cell_angle_alpha 90.00
_cell_angle_beta 90.00
_cell_angle_gamma 90.00
loop_
_atom_site_label
_atom_site_type_symbol
_atom_site_fract_x
_atom_site_fract_y
_atom_site_fract_z
Pr1 Pr 0.000 0.000 0.000
Mg1 Mg 0.000 0.190 0.348
Mg2 Mg 0.000 0.500 0.000
Zn1 Zn 0.000 0.500 0.268
# DOS at the Fermi energy, states/eV per atom: 0.438
# ΔE_f, eV/atom: -0.148
# Magnetic moment, Bohr magnetons per cell: 0.000

# PBE Pr2MgZn10, relaxed
data_Pr2MgZn10
_chemical_formula_sum 'Pr4 Mg2 Zn20'
_symmetry_space_group_name_H-M 'P 1 21/c 1'
_symmetry_Int_Tables_number 14
_cell_length_a 5.860
_cell_length_b 6.957
_cell_length_c 12.080
_cell_angle_alpha 90.00
_cell_angle_beta 91.77
_cell_angle_gamma 90.00
loop_
_symmetry_equiv_pos_as_xyz
'x,y,z'
'-x,-y,-z'
'-x,y+1/2,-z+1/2'
'x,-y+1/2,z+1/2'
loop_
_atom_site_label
_atom_site_type_symbol
_atom_site_fract_x
_atom_site_fract_y
_atom_site_fract_z
Pr1 Pr 0.035 0.229 0.439
Mg1 Mg 0.500 0.000 0.000
Zn1 Zn 0.161 0.649 0.330
Zn2 Zn 0.216 0.134 0.696
Zn3 Zn 0.240 0.507 0.726
Zn4 Zn 0.436 0.625 0.933
Zn5 Zn 0.466 0.701 0.162
# DOS at the Fermi energy, states/eV per atom: 0.409
# ΔE_f, eV/atom: -0.197
# Magnetic moment, Bohr magnetons per cell: 0.000

# PBE PrMg2Zn4, relaxed
data_PrMg2Zn4
_chemical_formula_sum 'Pr2 Mg4 Zn8'
_symmetry_space_group_name_H-M 'I 4/m m m'
_symmetry_Int_Tables_number 139
_symmetry_space_group_name_Hall '-I 4 2'
_cell_length_a 6.994
_cell_length_b 6.994
_cell_length_c 5.581
_cell_angle_alpha 90.00
_cell_angle_beta 90.00
_cell_angle_gamma 90.00
loop_
_atom_site_label
_atom_site_type_symbol
_atom_site_fract_x
_atom_site_fract_y
_atom_site_fract_z
Pr1 Pr 0.000 0.000 0.000
Mg1 Mg 0.000 0.500 0.250
Zn1 Zn 0.188 0.188 0.500
# DOS at the Fermi energy, states/eV per atom: 0.334
# ΔE_f, eV/atom: -0.227
# Magnetic moment, Bohr magnetons per cell: 0.000

# PBE PrMgZn10, relaxed
data_PrMgZn10
_chemical_formula_sum 'Pr1 Mg1 Zn10'
_symmetry_space_group_name_H-M 'P m m m'
_symmetry_Int_Tables_number 47
_cell_length_a 4.307
_cell_length_b 5.226
_cell_length_c 9.289
_cell_angle_alpha 90.00
_cell_angle_beta 90.00
_cell_angle_gamma 90.00
loop_
_symmetry_equiv_pos_as_xyz
'x,y,z'
'-x,-y,-z'
'-x,-y,z'
'x,y,-z'
'x,-y,-z'
'-x,y,z'
'-x,y,-z'
'x,-y,z'
loop_
_atom_site_label
_atom_site_type_symbol
_atom_site_fract_x
_atom_site_fract_y
_atom_site_fract_z
Pr1 Pr 0.000 0.000 0.000
Mg1 Mg 0.000 0.500 0.500
Zn1 Zn 0.000 0.000 0.348
Zn2 Zn 0.000 0.500 0.192
Zn3 Zn 0.500 0.000 0.500
Zn4 Zn 0.500 0.244 0.244
Zn5 Zn 0.500 0.500 0.000
# DOS at the Fermi energy, states/eV per atom: 0.348
# ΔE_f, eV/atom: -0.163
# Magnetic moment, Bohr magnetons per cell: 0.000

# PBE Pr2MgZn5, relaxed
data_Pr2MgZn5
_chemical_formula_sum 'Pr8 Mg4 Zn20'
_symmetry_space_group_name_H-M 'C m c m'
_symmetry_Int_Tables_number 63
_symmetry_space_group_name_Hall '-C 2c 2'
_cell_length_a 4.467
_cell_length_b 16.796
_cell_length_c 9.187
_cell_angle_alpha 90.00
_cell_angle_beta 90.00
_cell_angle_gamma 90.00
loop_
_atom_site_label
_atom_site_type_symbol
_atom_site_fract_x
_atom_site_fract_y
_atom_site_fract_z
Pr1 Pr 0.000 0.000 0.000
Pr2 Pr 0.000 0.206 0.250
Mg1 Mg 0.000 0.444 0.750
Zn1 Zn 0.000 0.185 0.608
Zn2 Zn 0.000 0.347 0.516
Zn3 Zn 0.000 0.397 0.250
# DOS at the Fermi energy, states/eV per atom: 0.683
# ΔE_f, eV/atom: -0.251
# E above lowest polymorph, eV per atom: 0.000
# Magnetic moment, Bohr magnetons per cell: 0.000

# PBE Pr3Mg5Zn2, relaxed
data_Pr3Mg5Zn2
_chemical_formula_sum 'Pr12 Mg20 Zn8'
_symmetry_space_group_name_H-M 'I b a m'
_symmetry_Int_Tables_number 72
_symmetry_space_group_name_Hall '-I 2 2c'
_cell_length_a 12.475
_cell_length_b 13.100
_cell_length_c 6.452
_cell_angle_alpha 90.00
_cell_angle_beta 90.00
_cell_angle_gamma 90.00
loop_
_atom_site_label
_atom_site_type_symbol
_atom_site_fract_x
_atom_site_fract_y
_atom_site_fract_z
Pr1 Pr 0.000 0.000 0.250
Pr2 Pr 0.243 0.142 0.000
Mg1 Mg 0.000 0.263 0.250
Mg2 Mg 0.000 0.500 0.250
Mg3 Mg 0.163 0.398 0.000
Zn1 Zn 0.137 0.150 0.500
# DOS at the Fermi energy, states/eV per atom: 0.700
# ΔE_f, eV/atom: -0.062
# Magnetic moment, Bohr magnetons per cell: 0.000

Repeat the first record exactly.
# PBE Pr8Mg2Zn, relaxed
data_Pr8Mg2Zn
_chemical_formula_sum 'Pr16 Mg4 Zn2'
_symmetry_space_group_name_H-M 'C 1 2/m 1'
_symmetry_Int_Tables_number 12
_cell_length_a 18.751
_cell_length_b 5.510
_cell_length_c 7.139
_cell_angle_alpha 90.00
_cell_angle_beta 105.21
_cell_angle_gamma 90.00
loop_
_symmetry_equiv_pos_as_xyz
'x,y,z'
'-x,-y,-z'
'-x,y,-z'
'x,-y,z'
'x+1/2,y+1/2,z'
'-x+1/2,-y+1/2,-z'
'-x+1/2,y+1/2,-z'
'x+1/2,-y+1/2,z'
loop_
_atom_site_label
_atom_site_type_symbol
_atom_site_fract_x
_atom_site_fract_y
_atom_site_fract_z
Pr1 Pr 0.018 0.000 0.269
Pr2 Pr 0.093 0.500 0.949
Pr3 Pr 0.157 0.500 0.456
Pr4 Pr 0.197 0.000 0.779
Mg1 Mg 0.187 0.000 0.221
Zn1 Zn 0.000 0.500 0.500
# DOS at the Fermi energy, states/eV per atom: 1.162
# ΔE_f, eV/atom: -0.017
# Magnetic moment, Bohr magnetons per cell: 0.000